a | Material: In2ReOs
Method: DFT, PBE-GGA
State: optimized geometry

Geometry as POSCAR:
```
In2ReOs
1.0
2.954 0.000 0.000
0.000 2.961 0.000
0.000 0.000 17.107
In Re Os
4 2 2
Cartesian
0.000 0.000 0.000
0.000 1.481 8.553
1.477 0.000 2.817
1.477 1.481 11.370
0.000 0.000 13.478
0.000 1.481 4.924
1.477 0.000 6.485
1.477 1.481 15.038
```

Properties
density = 13451 kg/m3

b | Material: In2ReOs
Method: DFT, PBE-GGA
State: optimized geometry

Geometry as POSCAR:
```
In2ReOs
1.0
7.584 0.000 0.000
0.000 7.584 0.000
0.000 0.000 5.426
In Re Os
8 4 4
Cartesian
1.821 5.688 0.678
1.896 1.821 4.747
1.896 1.971 2.035
1.971 5.688 3.391
5.613 1.896 3.391
5.688 5.613 2.035
5.688 5.763 4.747
5.763 1.896 0.678
0.000 0.000 2.713
0.000 3.792 4.069
3.792 0.000 1.356
3.792 3.792 0.000
0.000 0.000 0.000
0.000 3.792 1.356
3.792 0.000 4.069
3.792 3.792 2.713
```

Properties
density = 12899 kg/m3

c | Material: In2ReOs
Method: DFT, PBE-GGA
State: optimized geometry

Geometry as POSCAR:
```
In2ReOs
1.0
2.979 0.000 0.000
-1.490 2.580 0.000
0.000 0.000 28.342
In Re Os
6 3 3
Cartesian
0.000 0.000 0.000
0.000 0.000 6.724
0.000 1.720 18.895
0.000 1.720 25.618
1.490 0.860 9.447
1.490 0.860 16.171
0.000 0.000 13.765
0.000 1.720 4.318
1.490 0.860 23.213
0.000 0.000 21.255
0.000 1.720 11.808
1.490 0.860 2.361
```

Properties
density = 13858 kg/m3

Relative energy table, unit eV/atom: a 0.000; b 1.021; c 0.183

a | Material: In2Re2Os
Method: DFT, PBE-GGA
State: optimized geometry

Geometry as POSCAR:
```
In2Re2Os
1.0
3.475 0.000 0.000
0.000 3.475 0.000
0.000 0.000 16.101
In Re Os
4 4 2
Cartesian
0.000 0.000 1.540
0.000 0.000 14.561
1.738 1.738 6.510
1.738 1.738 9.591
0.000 1.738 4.025
0.000 1.738 12.076
1.738 0.000 4.025
1.738 0.000 12.076
0.000 0.000 8.051
1.738 1.738 0.000
```

Properties
density = 13530 kg/m3

b | Material: In2Re2Os
Method: DFT, PBE-GGA
State: optimized geometry

Geometry as POSCAR:
```
In2Re2Os
1.0
6.532 0.000 0.000
0.000 6.532 0.000
0.000 0.000 4.431
In Re Os
4 4 2
Cartesian
1.156 2.109 0.000
2.109 5.375 0.000
4.422 1.156 0.000
5.375 4.422 0.000
0.853 4.119 2.216
2.413 0.853 2.216
4.119 5.679 2.216
5.679 2.413 2.216
0.000 0.000 2.216
3.266 3.266 2.216
```

Properties
density = 13918 kg/m3

c | Material: In2Re2Os
Method: DFT, PBE-GGA
State: optimized geometry

Geometry as POSCAR:
```
In2Re2Os
1.0
7.766 0.000 0.000
0.000 7.766 0.000
0.000 0.000 2.922
In Re Os
4 4 2
Cartesian
1.003 2.880 0.000
2.880 6.762 0.000
4.886 1.003 0.000
6.762 4.886 0.000
1.341 5.224 1.461
2.542 1.341 1.461
5.224 6.425 1.461
6.425 2.542 1.461
0.000 0.000 0.000
3.883 3.883 0.000
```

Properties
density = 14930 kg/m3

Relative energy table, unit eV/atom: a 0.299; b 0.000; c 0.582

a | Material: In2ReOs2
Method: DFT, PBE-GGA
State: optimized geometry

Geometry as POSCAR:
```
In2ReOs2
1.0
3.720 0.000 0.000
0.000 3.720 0.000
0.000 0.000 13.435
In Re Os
4 2 4
Cartesian
0.000 1.860 3.359
0.000 1.860 10.076
1.860 0.000 3.359
1.860 0.000 10.076
0.000 0.000 0.000
1.860 1.860 6.717
0.000 0.000 5.492
0.000 0.000 7.943
1.860 1.860 1.225
1.860 1.860 12.209
```

Properties
density = 14226 kg/m3

b | Material: In2ReOs2
Method: DFT, PBE-GGA
State: optimized geometry

Geometry as POSCAR:
```
In2ReOs2
1.0
6.543 0.000 0.000
0.000 6.543 0.000
0.000 0.000 4.333
In Re Os
4 2 4
Cartesian
1.161 2.111 0.000
2.111 5.382 0.000
4.432 1.161 0.000
5.382 4.432 0.000
0.000 0.000 2.167
3.271 3.271 2.167
0.863 4.135 2.167
2.408 0.863 2.167
4.135 5.680 2.167
5.680 2.408 2.167
```

Properties
density = 14256 kg/m3

Relative energy table, unit eV/atom: a 0.648; b 0.000

a | Material: In3ReOs
Method: DFT, PBE-GGA
State: optimized geometry

Geometry as POSCAR:
```
In3ReOs
1.0
5.155 0.000 0.000
0.000 5.155 0.000
0.000 0.000 5.155
In Re Os
3 1 1
Cartesian
0.000 0.000 2.578
0.000 2.578 0.000
2.578 0.000 0.000
0.000 0.000 0.000
2.578 2.578 2.578
```

Properties
density = 8738 kg/m3

b | Material: In3ReOs
Method: DFT, PBE-GGA
State: optimized geometry

Geometry as POSCAR:
```
In3ReOs
1.0
5.145 0.000 0.000
0.000 5.145 0.000
0.000 0.000 5.145
In Re Os
3 1 1
Cartesian
0.000 0.000 2.573
0.000 2.573 0.000
2.573 0.000 0.000
2.573 2.573 2.573
0.000 0.000 0.000
```

Properties
density = 8788 kg/m3

Relative energy table, unit eV/atom: a 0.261; b 0.000

a | Material: InOsRh
Method: DFT, PBE-GGA
State: optimized geometry

Geometry as POSCAR:
```
InOsRh
1.0
2.870 0.000 0.000
0.000 2.870 0.000
0.000 0.000 11.832
In Os Rh
2 2 2
Cartesian
0.000 0.000 0.000
1.435 1.435 5.916
0.000 0.000 3.795
1.435 1.435 9.711
0.000 0.000 8.027
1.435 1.435 2.111
```

Properties
density = 13907 kg/m3

b | Material: InOsRh
Method: DFT, PBE-GGA
State: optimized geometry

Geometry as POSCAR:
```
InOsRh
1.0
6.086 0.000 0.000
0.000 6.086 0.000
0.000 0.000 6.086
In Os Rh
4 4 4
Cartesian
0.000 0.000 0.000
0.000 3.043 3.043
3.043 0.000 3.043
3.043 3.043 0.000
0.000 0.000 3.043
0.000 3.043 0.000
3.043 0.000 0.000
3.043 3.043 3.043
1.521 1.521 4.564
1.521 4.564 1.521
4.564 1.521 1.521
4.564 4.564 4.564
```

Properties
density = 12021 kg/m3

Relative energy table, unit eV/atom: a 0.000; b 0.384

a | Material: InOsRh
Method: DFT, PBE-GGA
State: optimized geometry

Geometry as POSCAR:
```
InOsRh
1.0
2.866 0.000 0.000
0.000 3.892 0.000
0.000 0.000 8.731
In Os Rh
2 2 2
Cartesian
0.000 0.000 0.000
1.433 1.946 4.366
0.000 0.000 2.813
1.433 1.946 7.179
0.000 0.000 5.905
1.433 1.946 1.539
```

Properties
density = 13911 kg/m3

b | Material: InOsRh
Method: DFT, PBE-GGA
State: optimized geometry

Geometry as POSCAR:
```
InOsRh
1.0
2.891 0.000 0.000
-1.446 2.504 0.000
0.000 0.000 6.720
In Os Rh
1 1 1
Cartesian
0.000 0.000 0.000
1.446 0.835 2.378
0.000 1.669 4.426
```

Properties
density = 13924 kg/m3

Relative energy table, unit eV/atom: a 0.076; b 0.000

a | Material: In2OsRh2
Method: DFT, PBE-GGA
State: optimized geometry

Geometry as POSCAR:
```
In2OsRh2
1.0
3.512 0.000 0.000
0.000 3.512 0.000
0.000 0.000 15.042
In Os Rh
4 2 4
Cartesian
0.000 0.000 1.505
0.000 0.000 13.537
1.756 1.756 6.016
1.756 1.756 9.026
0.000 0.000 7.521
1.756 1.756 0.000
0.000 1.756 3.761
0.000 1.756 11.282
1.756 0.000 3.761
1.756 0.000 11.282
```

Properties
density = 11199 kg/m3

b | Material: In2OsRh2
Method: DFT, PBE-GGA
State: optimized geometry

Geometry as POSCAR:
```
In2OsRh2
1.0
7.594 0.000 0.000
0.000 7.594 0.000
0.000 0.000 2.956
In Os Rh
4 2 4
Cartesian
1.065 2.732 0.000
2.732 6.529 0.000
4.862 1.065 0.000
6.529 4.862 0.000
0.000 0.000 0.000
3.797 3.797 0.000
1.219 5.016 1.478
2.579 1.219 1.478
5.016 6.376 1.478
6.376 2.579 1.478
```

Properties
density = 12190 kg/m3

Relative energy table, unit eV/atom: a 0.289; b 0.000

a | Material: In2OsRu
Method: DFT, PBE-GGA
State: optimized geometry

Geometry as POSCAR:
```
In2OsRu
1.0
2.923 0.000 0.000
0.000 2.923 0.000
0.000 0.000 8.616
In Os Ru
2 1 1
Cartesian
0.000 0.000 0.000
1.462 1.462 2.877
0.000 0.000 4.965
1.462 1.462 6.565
```

Properties
density = 11749 kg/m3

b | Material: In2OsRu
Method: DFT, PBE-GGA
State: optimized geometry

Geometry as POSCAR:
```
In2OsRu
1.0
2.984 0.000 0.000
-1.492 2.584 0.000
0.000 0.000 27.838
In Os Ru
6 3 3
Cartesian
0.000 0.000 0.000
0.000 0.000 6.571
0.000 1.723 18.558
0.000 1.723 25.129
1.492 0.861 9.279
1.492 0.861 15.850
0.000 0.000 13.520
0.000 1.723 4.241
1.492 0.861 22.799
0.000 0.000 20.835
0.000 1.723 11.556
1.492 0.861 2.277
```

Properties
density = 12089 kg/m3

Relative energy table, unit eV/atom: a 0.000; b 0.156

a | Material: In2OsRu
Method: DFT, PBE-GGA
State: optimized geometry

Geometry as POSCAR:
```
In2OsRu
1.0
8.852 0.000 0.000
0.000 3.027 0.000
-1.035 0.000 5.188
In Os Ru
4 2 2
Cartesian
1.951 0.000 1.289
1.440 1.514 3.899
6.377 1.514 1.289
5.866 0.000 3.899
-0.517 0.000 2.594
3.909 1.514 2.594
0.000 1.514 0.000
4.426 0.000 0.000
```

Properties
density = 12445 kg/m3

b | Material: In2OsRu
Method: DFT, PBE-GGA
State: optimized geometry

Geometry as POSCAR:
```
In2OsRu
1.0
4.038 0.000 0.000
0.000 4.038 0.000
0.000 0.000 8.476
In Os Ru
4 2 2
Cartesian
0.000 0.000 0.000
0.000 2.019 2.119
2.019 0.000 6.357
2.019 2.019 4.238
0.000 2.019 6.357
2.019 0.000 2.119
0.000 0.000 4.238
2.019 2.019 0.000
```

Properties
density = 12518 kg/m3

c | Material: In2OsRu
Method: DFT, PBE-GGA
State: optimized geometry

Geometry as POSCAR:
```
In2OsRu
1.0
3.088 0.000 0.000
0.000 5.065 0.000
0.000 0.000 8.988
In Os Ru
4 2 2
Cartesian
0.000 0.000 2.218
0.000 0.000 6.770
1.544 2.533 2.218
1.544 2.533 6.770
0.000 2.533 4.494
1.544 0.000 4.494
0.000 2.533 0.000
1.544 0.000 0.000
```

Properties
density = 12307 kg/m3

d | Material: In2OsRu
Method: DFT, PBE-GGA
State: optimized geometry

Geometry as POSCAR:
```
In2OsRu
1.0
7.458 0.000 0.000
0.000 7.458 0.000
0.000 0.000 5.464
In Os Ru
8 4 4
Cartesian
1.860 5.593 0.683
1.864 1.860 4.781
1.864 1.869 2.049
1.869 5.593 3.415
5.589 1.864 3.415
5.593 5.589 2.049
5.593 5.598 4.781
5.598 1.864 0.683
0.000 0.000 2.732
0.000 3.729 4.098
3.729 0.000 1.366
3.729 3.729 0.000
0.000 0.000 0.000
0.000 3.729 1.366
3.729 0.000 4.098
3.729 3.729 2.732
```

Properties
density = 11386 kg/m3

Relative energy table, unit eV/atom: a 0.000; b 0.066; c 0.090; d 0.471

a | Material: In2OsRu
Method: DFT, PBE-GGA
State: optimized geometry

Geometry as POSCAR:
```
In2OsRu
1.0
2.962 0.000 0.000
0.000 4.480 0.000
-0.264 0.000 5.298
In Os Ru
2 1 1
Cartesian
0.674 0.000 1.316
2.024 0.000 3.983
-0.132 2.240 2.649
1.481 2.240 0.000
```

Properties
density = 12302 kg/m3

b | Material: In2OsRu
Method: DFT, PBE-GGA
State: optimized geometry

Geometry as POSCAR:
```
In2OsRu
1.0
3.018 0.000 0.000
-1.509 2.614 0.000
0.000 0.000 26.373
In Os Ru
6 3 3
Cartesian
0.000 0.000 6.564
0.000 0.000 19.810
0.000 1.743 11.019
0.000 1.743 24.146
1.509 0.871 2.227
1.509 0.871 15.355
0.000 0.000 0.000
0.000 1.743 17.582
1.509 0.871 8.791
0.000 0.000 13.187
0.000 1.743 4.396
1.509 0.871 21.978
```

Properties
density = 12473 kg/m3

Relative energy table, unit eV/atom: a 0.074; b 0.000

a | Material: In2OsRu
Method: DFT, PBE-GGA
State: optimized geometry

Geometry as POSCAR:
```
In2OsRu
1.0
2.948 0.000 0.000
0.000 2.912 0.000
0.000 0.000 17.008
In Os Ru
4 2 2
Cartesian
0.000 0.000 0.000
0.000 1.456 8.504
1.474 0.000 2.803
1.474 1.456 11.307
1.474 0.000 6.437
1.474 1.456 14.941
0.000 0.000 13.337
0.000 1.456 4.833
```

Properties
density = 11851 kg/m3

b | Material: In2OsRu
Method: DFT, PBE-GGA
State: optimized geometry

Geometry as POSCAR:
```
In2OsRu
1.0
6.477 0.000 0.000
0.000 6.477 0.000
0.000 0.000 6.477
In Os Ru
8 4 4
Cartesian
1.619 1.619 1.619
1.619 1.619 4.858
1.619 4.858 1.619
1.619 4.858 4.858
4.858 1.619 1.619
4.858 1.619 4.858
4.858 4.858 1.619
4.858 4.858 4.858
0.000 0.000 0.000
0.000 3.239 3.239
3.239 0.000 3.239
3.239 3.239 0.000
0.000 0.000 3.239
0.000 3.239 0.000
3.239 0.000 0.000
3.239 3.239 3.239
```

Properties
density = 12733 kg/m3

Relative energy table, unit eV/atom: a 0.000; b 0.187

a | Material: In2OsRu
Method: DFT, PBE-GGA
State: optimized geometry

Geometry as POSCAR:
```
In2OsRu
1.0
10.351 0.000 0.000
0.000 2.959 0.000
-1.717 0.000 4.553
In Os Ru
4 2 2
Cartesian
0.000 0.000 0.000
1.148 0.000 2.765
5.176 1.480 0.000
6.324 1.480 2.765
2.421 1.480 0.570
7.597 0.000 0.570
3.904 0.000 2.206
9.080 1.480 2.206
```

Properties
density = 12404 kg/m3

b | Material: In2OsRu
Method: DFT, PBE-GGA
State: optimized geometry

Geometry as POSCAR:
```
In2OsRu
1.0
6.526 0.000 0.000
0.000 6.526 0.000
0.000 0.000 6.526
In Os Ru
8 4 4
Cartesian
0.000 0.000 0.000
0.000 3.263 3.263
1.631 1.631 1.631
1.631 4.894 4.894
3.263 0.000 3.263
3.263 3.263 0.000
4.894 1.631 4.894
4.894 4.894 1.631
0.000 0.000 3.263
0.000 3.263 0.000
3.263 0.000 0.000
3.263 3.263 3.263
1.631 1.631 4.894
1.631 4.894 1.631
4.894 1.631 1.631
4.894 4.894 4.894
```

Properties
density = 12450 kg/m3

Relative energy table, unit eV/atom: a 0.000; b 0.357